#A
Here is a relaxed structure of TbPmRhAu from Alexandria via LeMat-Bulk. Energies are from PBE.

Cell lengths 5.0504, 5.0504, 5.0504 Å; angles 60.00, 60.00, 60.00 degrees
Fractional coordinates of all 4 atoms:
Tb 0.0000 0.0000 0.0000
Pm 0.5000 0.5000 0.5000
Rh 0.7500 0.7500 0.7500
Au 0.2500 0.2500 0.2500

Summary:
Density in g/cm3: 11.01
Total moment in μB/f.u.: 0.00
Symmetry: F-43m (216)

#B
Here is a relaxed structure of TbPmRhAu from Alexandria via LeMat-Bulk. Energies are from PBE.

Cell lengths 4.6076, 5.6448, 5.6448 Å; angles 39.93, 90.00, 90.00 degrees
Fractional coordinates of all 4 atoms:
Tb 0.0000 0.0000 0.0000
Pm 0.5000 0.7199 0.7199
Rh 0.5000 0.4562 0.4562
Au 0.0000 0.2827 0.2827

Summary:
Density in g/cm3: 10.64
Total moment in μB/f.u.: 0.00
Symmetry: Amm2 (38)

Name the most stable of them. #B.

#A
Here is a relaxed structure of Pm4RuAu from Alexandria via LeMat-Bulk. Energies are from PBE.

Cell lengths 4.9829, 4.9829, 7.1401 Å; angles 90.08, 90.08, 90.00 degrees
Fractional coordinates of all 6 atoms:
Pm 0.0006 0.5003 0.7628
Pm 0.5003 0.0006 0.7628
Pm 0.4997 0.9994 0.2372
Pm 0.9994 0.4997 0.2372
Ru 0.0000 0.0000 0.0000
Au 0.5000 0.5000 0.5000

Summary:
Density in g/cm3: 8.22
Total moment in μB/f.u.: 0.00
Symmetry: C2/m (12)

#B
Here is a relaxed structure of Pm4RuAu from Alexandria via LeMat-Bulk. Energies are from PBE.

Cell lengths 8.1374, 8.1374, 6.3666 Å; angles 105.90, 105.90, 112.93 degrees
Fractional coordinates of all 12 atoms:
Pm 0.0596 0.7026 0.9136
Pm 0.2197 0.3543 0.6921
Pm 0.2974 0.9404 0.5864
Pm 0.3543 0.2197 0.1921
Pm 0.6457 0.7803 0.8079
Pm 0.7026 0.0596 0.4136
Pm 0.7803 0.6457 0.3079
Pm 0.9404 0.2974 0.0864
Ru 0.0003 0.9997 0.2500
Ru 0.9997 0.0003 0.7500
Au 0.3721 0.6279 0.2500
Au 0.6279 0.3721 0.7500

Summary:
Density in g/cm3: 8.65
Total moment in μB/f.u.: 0.00
Symmetry: C2/c (15)

Name the most stable of them. #B.

#A
Here is a relaxed structure of Pm3RuAu2 from Alexandria via LeMat-Bulk. Energies are from PBE.

Cell lengths 3.5939, 3.5939, 11.0802 Å; angles 90.00, 90.00, 90.00 degrees
Fractional coordinates of all 6 atoms:
Pm 0.0000 0.0000 0.0000
Pm 0.0000 0.0000 0.3457
Pm 0.0000 0.0000 0.6543
Ru 0.5000 0.5000 0.5000
Au 0.5000 0.5000 0.1708
Au 0.5000 0.5000 0.8292

Summary:
Density in g/cm3: 10.79
Total moment in μB/f.u.: 0.00
Symmetry: P4/mmm (123)

#B
Here is a relaxed structure of Pm3RuAu2 from Alexandria via LeMat-Bulk. Energies are from PBE.

Cell lengths 8.0551, 8.0551, 7.3274 Å; angles 90.00, 90.00, 142.90 degrees
Fractional coordinates of all 12 atoms:
Pm 0.0000 0.0000 0.2390
Pm 0.0000 0.0000 0.7610
Pm 0.3284 0.6716 0.2354
Pm 0.3284 0.6716 0.7646
Pm 0.6716 0.3284 0.2354
Pm 0.6716 0.3284 0.7646
Ru 0.1686 0.8314 0.0000
Ru 0.8314 0.1686 0.0000
Au 0.1643 0.8357 0.5000
Au 0.5000 0.5000 0.0000
Au 0.5000 0.5000 0.5000
Au 0.8357 0.1643 0.5000

Summary:
Density in g/cm3: 10.77
Total moment in μB/f.u.: 0.00
Symmetry: Cmmm (65)

Name the most stable of them. #A.

#A
Here is a relaxed structure of Pm2AuS from Alexandria via LeMat-Bulk. Energies are from PBE.

Cell lengths 7.7826, 7.7826, 7.7826 Å; angles 29.73, 29.73, 29.73 degrees
Fractional coordinates of all 4 atoms:
Pm 0.0000 0.0000 0.0000
Pm 0.1812 0.1812 0.1812
Au 0.4233 0.4233 0.4233
S 0.5925 0.5925 0.5925

Summary:
Density in g/cm3: 8.40
Total moment in μB/f.u.: 0.00
Symmetry: R3m (160)

#B
Here is a relaxed structure of Pm2AuS from Alexandria via LeMat-Bulk. Energies are from PBE.

Cell lengths 7.5604, 7.5604, 7.5604 Å; angles 31.22, 31.22, 31.22 degrees
Fractional coordinates of all 4 atoms:
Pm 0.2437 0.2437 0.2437
Pm 0.7563 0.7563 0.7563
Au 0.0000 0.0000 0.0000
S 0.5000 0.5000 0.5000

Summary:
Density in g/cm3: 8.37
Total moment in μB/f.u.: 0.00
Symmetry: R-3m (166)

Name the most stable of them. #B.

#A
Here is a relaxed structure of Pm2SbAu3 from Alexandria via LeMat-Bulk. Energies are from PBE.

Cell lengths 9.5267, 9.0094, 6.0440 Å; angles 75.68, 66.39, 37.93 degrees
Fractional coordinates of all 12 atoms:
Pm 0.2369 0.7631 0.7631
Pm 0.2500 0.2500 0.2500
Pm 0.7500 0.7500 0.7500
Pm 0.7631 0.2369 0.2369
Sb 0.3348 0.3348 0.6652
Sb 0.6652 0.6652 0.3348
Au 0.1655 0.1655 0.8345
Au 0.1666 0.6665 0.3335
Au 0.3335 0.8334 0.1666
Au 0.6665 0.1666 0.8334
Au 0.8334 0.3335 0.6665
Au 0.8345 0.8345 0.1655

Summary:
Density in g/cm3: 11.48
Total moment in μB/f.u.: 0.00
Symmetry: Fmmm (69)

#B
Here is a relaxed structure of Pm2SbAu3 from Alexandria via LeMat-Bulk. Energies are from PBE.

Cell lengths 3.7121, 4.6700, 8.4023 Å; angles 90.00, 90.00, 90.00 degrees
Fractional coordinates of all 6 atoms:
Pm 0.0000 0.0000 0.0000
Pm 0.0000 0.5000 0.4656
Sb 0.5000 0.5000 0.8154
Au 0.5000 0.0000 0.3170
Au 0.5000 0.0000 0.6431
Au 0.5000 0.5000 0.1470

Summary:
Density in g/cm3: 11.43
Total moment in μB/f.u.: 0.00
Symmetry: Pmm2 (25)

Name the most stable of them. #A.

#A
Here is a relaxed structure of PmScAu from Alexandria via LeMat-Bulk. Energies are from PBE.

Cell lengths 4.6464, 4.6464, 7.1300 Å; angles 90.00, 90.00, 90.00 degrees
Fractional coordinates of all 6 atoms:
Pm 0.2500 0.2500 0.1286
Pm 0.7500 0.7500 0.8714
Sc 0.2500 0.7500 0.5000
Sc 0.7500 0.2500 0.5000
Au 0.2500 0.2500 0.7209
Au 0.7500 0.7500 0.2791

Summary:
Density in g/cm3: 8.35
Total moment in μB/f.u.: 0.00
Symmetry: P4/nmm (129)

#B
Here is a relaxed structure of PmScAu from Alexandria via LeMat-Bulk. Energies are from PBE.

Cell lengths 4.7559, 4.7559, 3.9208 Å; angles 90.00, 90.00, 120.00 degrees
Fractional coordinates of all 3 atoms:
Pm 0.0000 0.0000 0.0000
Sc 0.6667 0.3333 0.5041
Au 0.3333 0.6667 0.4576

Summary:
Density in g/cm3: 8.37
Total moment in μB/f.u.: 0.00
Symmetry: P3m1 (156)

Name the most stable of them. #A.